TbEr3Al (GGA-PBE, optimized geometry); space-group type = C2/m (12); formation energy from the elements = -0.1486 eV/atom; DOS at the Fermi energy = 12.1 states/eV per cell; distance to the lowest polymorph of the same formula = 0.000 eV per atom
1.0
6.417 -1.779 0.000
6.417 1.779 0.000
-1.105 0.000 12.327
Tb Er Al
2 6 2
direct
0.225 0.225 0.248
0.775 0.775 0.752
0.033 0.033 0.694
0.141 0.141 0.950
0.365 0.365 0.518
0.635 0.635 0.482
0.859 0.859 0.050
0.967 0.967 0.306
0.450 0.450 0.879
0.550 0.550 0.121